# Li2CaCdPt PBE-GGA optimized geometry
# Density   5.0 Mg/m³
# Total magnetization   0.00 μB/cell
# Symmetry   P4/mmm (123)
# Raw total energy   -0.20747 Ry/atom
data_Li2CaCdPt
_cell_length_a 4.772
_cell_length_b 4.772
_cell_length_c 5.250
_cell_angle_alpha 90.00
_cell_angle_beta 90.00
_cell_angle_gamma 90.00
_symmetry_space_group_name_H-M 'P 1'
_symmetry_Int_Tables_number 1
loop_
_symmetry_equiv_pos_as_xyz
'x,y,z'
loop_
_atom_site_label
_atom_site_type_symbol
_atom_site_fract_x
_atom_site_fract_y
_atom_site_fract_z
_atom_site_occupancy
Pt1 Pt 0.000 0.000 0.000 1
Li1 Li 0.000 0.500 0.000 1
Li2 Li 0.500 0.000 0.000 1
Cd1 Cd 0.000 0.000 0.500 1
Ca1 Ca 0.500 0.500 0.500 1


# Li5Ca2Cd2Rh PBE-GGA optimized geometry
# Density   3.4 Mg/m³
# Total magnetization   0.00 μB/cell
# Symmetry   P4/mbm (127)
# Raw total energy   -0.17142 Ry/atom
data_Li5Ca2Cd2Rh
_cell_length_a 3.695
_cell_length_b 10.818
_cell_length_c 10.818
_cell_angle_alpha 90.00
_cell_angle_beta 90.00
_cell_angle_gamma 90.00
_symmetry_space_group_name_H-M 'P 1'
_symmetry_Int_Tables_number 1
loop_
_symmetry_equiv_pos_as_xyz
'x,y,z'
loop_
_atom_site_label
_atom_site_type_symbol
_atom_site_fract_x
_atom_site_fract_y
_atom_site_fract_z
_atom_site_occupancy
Li1 Li 0.500 0.053 0.828 1
Li2 Li 0.500 0.672 0.447 1
Li3 Li 0.500 0.000 0.500 1
Li4 Li 0.500 0.447 0.328 1
Li5 Li 0.500 0.172 0.053 1
Li6 Li 0.500 0.553 0.672 1
Li7 Li 0.500 0.500 0.000 1
Li8 Li 0.500 0.947 0.172 1
Li9 Li 0.500 0.328 0.553 1
Li10 Li 0.500 0.828 0.947 1
Ca1 Ca 0.000 0.175 0.325 1
Ca2 Ca 0.000 0.675 0.175 1
Ca3 Ca 0.000 0.825 0.675 1
Ca4 Ca 0.000 0.325 0.825 1
Rh1 Rh 0.000 0.500 0.500 1
Rh2 Rh 0.000 0.000 0.000 1
Cd1 Cd 0.000 0.874 0.374 1
Cd2 Cd 0.000 0.374 0.126 1
Cd3 Cd 0.000 0.626 0.874 1
Cd4 Cd 0.000 0.126 0.626 1


# Li2Ca2Cd5Rh PBE-GGA optimized geometry
# Density   5.9 Mg/m³
# Total magnetization   0.00 μB/cell
# Symmetry   P4/mbm (127)
# Raw total energy   -0.16112 Ry/atom
data_Li2Ca2Cd5Rh
_cell_length_a 3.918
_cell_length_b 10.480
_cell_length_c 10.480
_cell_angle_alpha 90.00
_cell_angle_beta 90.00
_cell_angle_gamma 90.00
_symmetry_space_group_name_H-M 'P 1'
_symmetry_Int_Tables_number 1
loop_
_symmetry_equiv_pos_as_xyz
'x,y,z'
loop_
_atom_site_label
_atom_site_type_symbol
_atom_site_fract_x
_atom_site_fract_y
_atom_site_fract_z
_atom_site_occupancy
Ca1 Ca 0.000 0.819 0.681 1
Ca2 Ca 0.000 0.181 0.319 1
Ca3 Ca 0.000 0.681 0.181 1
Ca4 Ca 0.000 0.319 0.819 1
Li1 Li 0.000 0.880 0.380 1
Li2 Li 0.000 0.120 0.620 1
Li3 Li 0.000 0.380 0.120 1
Li4 Li 0.000 0.620 0.880 1
Rh1 Rh 0.000 0.500 0.500 1
Rh2 Rh 0.000 0.000 0.000 1
Cd1 Cd 0.500 0.948 0.194 1
Cd2 Cd 0.500 0.306 0.552 1
Cd3 Cd 0.500 0.500 0.000 1
Cd4 Cd 0.500 0.694 0.448 1
Cd5 Cd 0.500 0.552 0.694 1
Cd6 Cd 0.500 0.806 0.948 1
Cd7 Cd 0.500 0.052 0.806 1
Cd8 Cd 0.500 0.194 0.052 1
Cd9 Cd 0.500 0.448 0.306 1
Cd10 Cd 0.500 0.000 0.500 1


# Li5Ca2CdRh2 PBE-GGA optimized geometry
# Density   3.7 Mg/m³
# Total magnetization   0.00 μB/cell
# Symmetry   P4/mbm (127)
# Raw total energy   -0.22662 Ry/atom
data_Li5Ca2CdRh2
_cell_length_a 4.238
_cell_length_b 9.622
_cell_length_c 9.622
_cell_angle_alpha 90.00
_cell_angle_beta 90.00
_cell_angle_gamma 90.00
_symmetry_space_group_name_H-M 'P 1'
_symmetry_Int_Tables_number 1
loop_
_symmetry_equiv_pos_as_xyz
'x,y,z'
loop_
_atom_site_label
_atom_site_type_symbol
_atom_site_fract_x
_atom_site_fract_y
_atom_site_fract_z
_atom_site_occupancy
Li1 Li 0.500 0.431 0.285 1
Li2 Li 0.500 0.215 0.069 1
Li3 Li 0.500 0.000 0.500 1
Li4 Li 0.500 0.785 0.931 1
Li5 Li 0.500 0.500 0.000 1
Li6 Li 0.500 0.715 0.431 1
Li7 Li 0.500 0.931 0.215 1
Li8 Li 0.500 0.069 0.785 1
Li9 Li 0.500 0.569 0.715 1
Li10 Li 0.500 0.285 0.569 1
Rh1 Rh 0.000 0.383 0.117 1
Rh2 Rh 0.000 0.883 0.383 1
Rh3 Rh 0.000 0.617 0.883 1
Rh4 Rh 0.000 0.117 0.617 1
Ca1 Ca 0.000 0.174 0.326 1
Ca2 Ca 0.000 0.826 0.674 1
Ca3 Ca 0.000 0.674 0.174 1
Ca4 Ca 0.000 0.326 0.826 1
Cd1 Cd 0.000 0.500 0.500 1
Cd2 Cd 0.000 0.000 0.000 1


# Li2CaCdRu PBE-GGA optimized geometry
# Density   4.2 Mg/m³
# Total magnetization   1.42 μB/cell
# Symmetry   P4/mmm (123)
# Raw total energy   -0.13210 Ry/atom
data_Li2CaCdRu
_cell_length_a 4.481
_cell_length_b 5.305
_cell_length_c 4.481
_cell_angle_alpha 90.00
_cell_angle_beta 90.00
_cell_angle_gamma 90.00
_symmetry_space_group_name_H-M 'P 1'
_symmetry_Int_Tables_number 1
loop_
_symmetry_equiv_pos_as_xyz
'x,y,z'
loop_
_atom_site_label
_atom_site_type_symbol
_atom_site_fract_x
_atom_site_fract_y
_atom_site_fract_z
_atom_site_occupancy
Li1 Li 0.000 0.000 0.500 1
Li2 Li 0.500 0.000 0.000 1
Cd1 Cd 0.000 0.500 0.000 1
Ca1 Ca 0.000 0.000 0.000 1
Ru1 Ru 0.500 0.500 0.500 1


# LiCaCdSb PBE-GGA optimized geometry
# Density   4.6 Mg/m³
# ΔE_f (raw)   -51.91 kJ/mol of atoms
# Total magnetization   0.00 μB/cell
# Symmetry   F-43m (216)
data_LiCaCdSb
_cell_length_a 5.235
_cell_length_b 5.235
_cell_length_c 5.235
_cell_angle_alpha 60.00
_cell_angle_beta 60.00
_cell_angle_gamma 60.00
_symmetry_space_group_name_H-M 'P 1'
_symmetry_Int_Tables_number 1
loop_
_symmetry_equiv_pos_as_xyz
'x,y,z'
loop_
_atom_site_label
_atom_site_type_symbol
_atom_site_fract_x
_atom_site_fract_y
_atom_site_fract_z
_atom_site_occupancy
Sb1 Sb 0.750 0.750 0.750 1
Cd1 Cd 0.250 0.250 0.250 1
Ca1 Ca 0.500 0.500 0.500 1
Li1 Li 0.000 0.000 0.000 1


# LiCa2CdSe PBE-GGA optimized geometry
# Density   3.1 Mg/m³
# ΔE_f (raw)   -69.69 kJ/mol of atoms
# Total magnetization   0.00 μB/cell
# Symmetry   P4/mmm (123)
data_LiCa2CdSe
_cell_length_a 5.621
_cell_length_b 5.621
_cell_length_c 4.747
_cell_angle_alpha 90.00
_cell_angle_beta 90.00
_cell_angle_gamma 90.00
_symmetry_space_group_name_H-M 'P 1'
_symmetry_Int_Tables_number 1
loop_
_symmetry_equiv_pos_as_xyz
'x,y,z'
loop_
_atom_site_label
_atom_site_type_symbol
_atom_site_fract_x
_atom_site_fract_y
_atom_site_fract_z
_atom_site_occupancy
Se1 Se 0.000 0.000 0.000 1
Ca1 Ca 0.500 0.000 0.000 1
Ca2 Ca 0.000 0.500 0.000 1
Li1 Li 0.000 0.000 0.500 1
Cd1 Cd 0.500 0.500 0.500 1


# LiCaSmCd PBE-GGA optimized geometry
# Density   4.6 Mg/m³
# Total magnetization   0.00 μB/cell
# Symmetry   F-43m (216)
# Raw total energy   -0.18699 Ry/atom
data_LiCaSmCd
_cell_length_a 5.393
_cell_length_b 5.393
_cell_length_c 5.393
_cell_angle_alpha 60.00
_cell_angle_beta 60.00
_cell_angle_gamma 60.00
_symmetry_space_group_name_H-M 'P 1'
_symmetry_Int_Tables_number 1
loop_
_symmetry_equiv_pos_as_xyz
'x,y,z'
loop_
_atom_site_label
_atom_site_type_symbol
_atom_site_fract_x
_atom_site_fract_y
_atom_site_fract_z
_atom_site_occupancy
Cd1 Cd 0.750 0.750 0.750 1
Ca1 Ca 0.000 0.000 0.000 1
Li1 Li 0.250 0.250 0.250 1
Sm1 Sm 0.500 0.500 0.500 1


# Sr2LiCaCd PBE-GGA optimized geometry
# Density   2.6 Mg/m³
# Total magnetization   0.00 μB/cell
# Symmetry   P4/mmm (123)
# Raw total energy   -0.11666 Ry/atom
data_Sr2LiCaCd
_cell_length_a 6.428
_cell_length_b 6.428
_cell_length_c 5.186
_cell_angle_alpha 90.00
_cell_angle_beta 90.00
_cell_angle_gamma 90.00
_symmetry_space_group_name_H-M 'P 1'
_symmetry_Int_Tables_number 1
loop_
_symmetry_equiv_pos_as_xyz
'x,y,z'
loop_
_atom_site_label
_atom_site_type_symbol
_atom_site_fract_x
_atom_site_fract_y
_atom_site_fract_z
_atom_site_occupancy
Li1 Li 0.000 0.000 0.500 1
Sr1 Sr 0.000 0.500 0.000 1
Sr2 Sr 0.500 0.000 0.000 1
Cd1 Cd 0.000 0.000 0.000 1
Ca1 Ca 0.500 0.500 0.500 1


# SrLiCa2Cd PBE-GGA optimized geometry
# Density   2.6 Mg/m³
# Total magnetization   0.00 μB/cell
# Symmetry   Cmcm (63)
# Distance to the lowest polymorph of the same formula   0.000 eV/atom
data_SrLiCa2Cd
_cell_length_a 7.167
_cell_length_b 7.180
_cell_length_c 7.902
_cell_angle_alpha 117.02
_cell_angle_beta 90.00
_cell_angle_gamma 90.00
_symmetry_space_group_name_H-M 'P 1'
_symmetry_Int_Tables_number 1
loop_
_symmetry_equiv_pos_as_xyz
'x,y,z'
loop_
_atom_site_label
_atom_site_type_symbol
_atom_site_fract_x
_atom_site_fract_y
_atom_site_fract_z
_atom_site_occupancy
Ca1 Ca 0.000 0.749 0.000 1
Ca2 Ca 0.500 0.749 0.000 1
Ca3 Ca 0.500 0.251 0.000 1
Ca4 Ca 0.000 0.251 0.000 1
Sr1 Sr 0.250 0.250 0.500 1
Sr2 Sr 0.750 0.750 0.500 1
Li1 Li 0.750 0.161 0.321 1
Li2 Li 0.250 0.839 0.679 1
Cd1 Cd 0.750 0.352 0.705 1
Cd2 Cd 0.250 0.648 0.295 1


Copy entry 1 word for word.
# Li2CaCdPt PBE-GGA optimized geometry
# Density   5.0 Mg/m³
# Total magnetization   0.00 μB/cell
# Symmetry   P4/mmm (123)
# Raw total energy   -0.20747 Ry/atom
data_Li2CaCdPt
_cell_length_a 4.772
_cell_length_b 4.772
_cell_length_c 5.250
_cell_angle_alpha 90.00
_cell_angle_beta 90.00
_cell_angle_gamma 90.00
_symmetry_space_group_name_H-M 'P 1'
_symmetry_Int_Tables_number 1
loop_
_symmetry_equiv_pos_as_xyz
'x,y,z'
loop_
_atom_site_label
_atom_site_type_symbol
_atom_site_fract_x
_atom_site_fract_y
_atom_site_fract_z
_atom_site_occupancy
Pt1 Pt 0.000 0.000 0.000 1
Li1 Li 0.000 0.500 0.000 1
Li2 Li 0.500 0.000 0.000 1
Cd1 Cd 0.000 0.000 0.500 1
Ca1 Ca 0.500 0.500 0.500 1


> Which value of density does entry 10 give?

2.6 Mg/m³


> density of number 8 (LiCaSmCd)?

4.6 Mg/m³